1.
{
  "formula": "Sn3BH",
  "functional": "PBE",
  "state": "optimized geometry",
  "cell": [[4.621, 0.000, 0.000], [0.000, 4.621, 0.000], [0.000, 0.000, 4.621]],
  "species": ["Sn", "Sn", "Sn", "B", "H"],
  "fractional_positions": [[0.000, 0.000, 0.500], [0.000, 0.500, 0.000], [0.500, 0.000, 0.000], [0.500, 0.500, 0.500], [0.000, 0.000, 0.000]],
  "magmom_total_mub_per_fu": 0.00,
  "total_energy_ev_per_atom": -3.42,
  "mass_density_g_cm3": 6.2
}

2.
{
  "formula": "AcFeAgH6",
  "functional": "PBE",
  "state": "optimized geometry",
  "cell": [[4.815, 0.000, 0.000], [-2.408, 4.170, 0.000], [0.000, 0.000, 4.457]],
  "species": ["Ac", "Fe", "Ag", "H", "H", "H", "H", "H", "H"],
  "fractional_positions": [[0.000, 0.000, 0.000], [0.667, 0.333, 0.500], [0.333, 0.667, 0.500], [0.529, 0.057, 0.248], [0.529, 0.057, 0.752], [0.529, 0.471, 0.248], [0.529, 0.471, 0.752], [0.943, 0.471, 0.248], [0.943, 0.471, 0.752]],
  "magmom_total_mub_per_fu": 0.57,
  "total_energy_ev_per_atom": -4.15,
  "mass_density_g_cm3": 7.4
}

3.
{
  "formula": "La2TlInCo",
  "functional": "PBE",
  "state": "optimized geometry",
  "cell": [[5.255, 0.000, 0.000], [0.000, 5.255, 0.000], [0.000, 0.000, 5.038]],
  "species": ["La", "La", "Tl", "In", "Co"],
  "fractional_positions": [[0.000, 0.500, 0.000], [0.500, 0.000, 0.000], [0.000, 0.000, 0.500], [0.500, 0.500, 0.500], [0.500, 0.500, 0.000]],
  "magmom_total_mub_per_fu": 0.00,
  "e_above_lowest_polymorph_mev_per_atom": 0,
  "total_energy_ev_per_atom": -4.77,
  "mass_density_g_cm3": 7.8
}